Record 1
The following is a PBE calculation of an optimized crystal structure of Pa2VSn, from Alexandria.

Cell lengths 5.065, 5.065, 5.136 Å; angles 60.46, 60.46, 60.00 degrees
Sites, in units of the cell vectors:
Pa: 0.752 0.752 0.744
Pa: 0.248 0.248 0.256
Sn: 0.000 0.000 0.000
V: 0.500 0.500 0.500

Computed properties:
Offset from the most stable computed form = 351 meV per atom
DFT formation energy = 0.303 eV/atom

=====

Record 2
The following is a PBE calculation of an optimized crystal structure of Ca3Mg5, from Alexandria.

Cell lengths 6.913, 6.913, 4.907 Å; angles 90.00, 90.00, 96.53 degrees
Sites, in units of the cell vectors:
Ca: 0.500 0.500 0.000
Ca: 0.760 0.240 0.500
Ca: 0.240 0.760 0.500
Mg: 0.000 0.000 0.000
Mg: 0.000 0.500 0.000
Mg: 0.500 0.000 0.000
Mg: 0.244 0.244 0.500
Mg: 0.756 0.756 0.500

Computed properties:
Offset from the most stable computed form = 0 meV per atom
DFT formation energy = -0.033 eV/atom

=====

Record 3
The following is a PBE calculation of an optimized crystal structure of SrFe2OsPb, from Alexandria.

Cell lengths 4.856, 5.127, 4.856 Å; angles 90.00, 90.00, 90.00 degrees
Sites, in units of the cell vectors:
Pb: 0.500 0.500 0.500
Sr: 0.000 0.000 0.000
Os: 0.000 0.500 0.000
Fe: 0.000 0.000 0.500
Fe: 0.500 0.000 0.000

Computed properties:
DFT formation energy = 2.365 eV/atom

=====

Record 4
The following is a PBE calculation of an optimized crystal structure of Np3Al11, from Alexandria.

Cell lengths 4.274, 8.281, 8.281 Å; angles 74.87, 75.05, 75.05 degrees
Sites, in units of the cell vectors:
Np: 0.000 0.000 0.000
Np: 0.691 0.309 0.309
Np: 0.309 0.691 0.691
Al: 0.000 0.500 0.500
Al: 0.500 0.303 0.697
Al: 0.500 0.697 0.303
Al: 0.656 0.971 0.717
Al: 0.344 0.029 0.283
Al: 0.656 0.717 0.971
Al: 0.344 0.283 0.029
Al: 0.858 0.865 0.418
Al: 0.142 0.135 0.582
Al: 0.858 0.418 0.865
Al: 0.142 0.582 0.135

Computed properties:
DFT formation energy = -0.072 eV/atom

=====

Record 5
The following is a PBE calculation of an optimized crystal structure of PmBeAu3, from Alexandria.

Cell lengths 4.613, 4.613, 4.613 Å; angles 90.00, 90.00, 90.00 degrees
Sites, in units of the cell vectors:
Be: 0.000 0.000 0.000
Au: 0.000 0.500 0.000
Au: 0.000 0.000 0.500
Au: 0.500 0.000 0.000
Pm: 0.500 0.500 0.500

Computed properties:
Offset from the most stable computed form = 84 meV per atom
DFT formation energy = -0.465 eV/atom

=====

Record 6
The following is a PBE calculation of an optimized crystal structure of Ti6FeRh5, from Alexandria.

Cell lengths 4.297, 6.385, 6.792 Å; angles 90.00, 71.56, 90.00 degrees
Sites, in units of the cell vectors:
Rh: 0.667 0.500 0.665
Rh: 0.332 0.000 0.335
Rh: 0.000 0.500 0.000
Rh: 0.668 0.000 0.665
Rh: 0.333 0.500 0.335
Fe: 0.000 0.000 0.000
Ti: 0.837 0.754 0.325
Ti: 0.837 0.246 0.325
Ti: 0.500 0.240 0.000
Ti: 0.500 0.760 0.000
Ti: 0.163 0.754 0.675
Ti: 0.163 0.246 0.675

Computed properties:
DFT formation energy = -0.675 eV/atom

=====

Record 7
The following is a PBE calculation of an optimized crystal structure of Pm2ThGa, from Alexandria.

Cell lengths 3.506, 3.506, 11.689 Å; angles 81.37, 81.37, 60.00 degrees
Sites, in units of the cell vectors:
Ga: 0.500 0.500 0.500
Th: 0.000 0.000 0.000
Pm: 0.101 0.101 0.698
Pm: 0.899 0.899 0.302

Computed properties:
Offset from the most stable computed form = 273 meV per atom
DFT formation energy = 0.020 eV/atom

=====

Record 8
The following is a PBE calculation of an optimized crystal structure of ZrNi2Au2, from Alexandria.

Cell lengths 3.636, 3.636, 6.888 Å; angles 74.70, 74.70, 90.00 degrees
Sites, in units of the cell vectors:
Ni: 0.750 0.250 0.500
Ni: 0.250 0.750 0.500
Au: 0.393 0.393 0.215
Au: 0.607 0.607 0.785
Zr: 0.000 0.000 0.000

Computed properties:
Offset from the most stable computed form = 150 meV per atom
DFT formation energy = -0.083 eV/atom

=====

Record 9
The following is a PBE calculation of an optimized crystal structure of BaCaTbBiO6, from Alexandria.

Cell lengths 6.004, 6.046, 8.609 Å; angles 89.92, 89.93, 90.16 degrees
Sites, in units of the cell vectors:
Ba: 0.009 0.027 0.750
Ba: 0.991 0.973 0.250
Ca: 0.505 0.529 0.748
Ca: 0.495 0.471 0.252
Tb: 0.500 0.000 0.000
Tb: 0.000 0.500 0.500
Bi: 0.000 0.500 0.000
Bi: 0.500 0.000 0.500
O: 0.805 0.208 0.020
O: 0.685 0.703 0.442
O: 0.195 0.792 0.980
O: 0.315 0.297 0.558
O: 0.705 0.688 0.061
O: 0.792 0.196 0.483
O: 0.295 0.312 0.939
O: 0.208 0.804 0.517
O: 0.554 0.927 0.743
O: 0.902 0.513 0.758
O: 0.446 0.073 0.257
O: 0.098 0.487 0.242

Computed properties:
Offset from the most stable computed form = 0 meV per atom
Uncorrected formation energy = -2.39 eV per atom

=====

Record 10
The following is a PBE calculation of an optimized crystal structure of HfNbCo2, from Alexandria.

Cell lengths 6.770, 6.770, 5.528 Å; angles 52.24, 52.24, 90.00 degrees
Sites, in units of the cell vectors:
Co: 0.610 0.125 0.250
Co: 0.140 0.625 0.250
Co: 0.375 0.390 0.750
Co: 0.875 0.860 0.750
Nb: 0.500 0.500 0.000
Nb: 0.250 0.750 0.500
Hf: 0.000 0.000 0.000
Hf: 0.750 0.250 0.500

Computed properties:
Offset from the most stable computed form = 427 meV per atom
DFT formation energy = 0.233 eV/atom

=====

Record 11
The following is a PBE calculation of an optimized crystal structure of DyTh3, from Alexandria.

Cell lengths 3.556, 6.172, 6.886 Å; angles 116.63, 104.97, 90.00 degrees
Sites, in units of the cell vectors:
Th: 0.252 0.581 0.503
Th: 0.500 0.499 0.000
Th: 0.748 0.078 0.497
Dy: 0.000 0.008 0.000

Computed properties:
Offset from the most stable computed form = 73 meV per atom
DFT formation energy = 0.054 eV/atom

=====

Record 12
The following is a PBE calculation of an optimized crystal structure of Y3HgGe, from Alexandria.

Cell lengths 5.422, 5.422, 5.422 Å; angles 90.00, 90.00, 90.00 degrees
Sites, in units of the cell vectors:
Y: 0.000 0.500 0.000
Y: 0.000 0.000 0.500
Y: 0.500 0.000 0.000
Ge: 0.000 0.000 0.000
Hg: 0.500 0.500 0.500

Computed properties:
Offset from the most stable computed form = 0 meV per atom
DFT formation energy = -0.191 eV/atom

=====

Record 13
The following is a PBE calculation of an optimized crystal structure of PCl2, from Alexandria.

Cell lengths 5.068, 7.161, 3.216 Å; angles 108.16, 90.00, 110.72 degrees
Sites, in units of the cell vectors:
Cl: 0.544 0.253 0.176
Cl: 0.290 0.747 0.824
P: 0.166 0.000 0.000

Computed properties:
Uncorrected formation energy = -0.41 eV per atom

=====

Record 14
The following is a PBE calculation of an optimized crystal structure of Cs2RhCl6O, from Alexandria.

Cell lengths 7.221, 7.221, 7.572 Å; angles 61.52, 61.52, 90.00 degrees
Sites, in units of the cell vectors:
Cs: 0.750 0.250 0.500
Cs: 0.250 0.750 0.500
Rh: 0.000 0.000 0.000
O: 0.500 0.500 0.000
Cl: 0.210 0.210 0.579
Cl: 0.790 0.790 0.421
Cl: 0.231 0.231 0.000
Cl: 0.769 0.769 0.000
Cl: 0.769 0.231 0.000
Cl: 0.231 0.769 0.000

Computed properties:
Uncorrected formation energy = -0.82 eV per atom

=====

Record 15
The following is a PBE calculation of an optimized crystal structure of Re3GeC, from Alexandria.

Cell lengths 4.095, 4.095, 4.095 Å; angles 90.00, 90.00, 90.00 degrees
Sites, in units of the cell vectors:
Re: 0.000 0.500 0.000
Re: 0.000 0.000 0.500
Re: 0.500 0.000 0.000
Ge: 0.500 0.500 0.500
C: 0.000 0.000 0.000

Computed properties:
Offset from the most stable computed form = 0 meV per atom
DFT formation energy = 0.569 eV/atom

=====

Record 16
The following is a PBE calculation of an optimized crystal structure of Pu2PaPd2, from Alexandria.

Cell lengths 4.689, 5.791, 9.179 Å; angles 101.96, 75.20, 66.12 degrees
Sites, in units of the cell vectors:
Pu: 0.039 0.321 0.601
Pu: 0.705 0.762 0.829
Pu: 0.961 0.679 0.399
Pu: 0.295 0.238 0.171
Pa: 0.464 0.300 0.773
Pa: 0.536 0.700 0.227
Pd: 0.691 0.227 0.390
Pd: 0.939 0.194 0.929
Pd: 0.309 0.773 0.610
Pd: 0.061 0.806 0.071

Computed properties:
DFT formation energy = -0.328 eV/atom

=====

Record 17
The following is a PBE calculation of an optimized crystal structure of Pm2PrAg, from Alexandria.

Cell lengths 3.690, 5.666, 5.666 Å; angles 90.00, 90.00, 90.00 degrees
Sites, in units of the cell vectors:
Pr: 0.500 0.500 0.500
Ag: 0.500 0.000 0.000
Pm: 0.000 0.000 0.500
Pm: 0.000 0.500 0.000

Computed properties:
Offset from the most stable computed form = 117 meV per atom
DFT formation energy = 0.004 eV/atom

=====

Record 18
The following is a PBE calculation of an optimized crystal structure of Sm3DyAu2, from Alexandria.

Cell lengths 5.062, 7.166, 9.167 Å; angles 90.00, 90.00, 90.00 degrees
Sites, in units of the cell vectors:
Sm: 0.000 0.491 0.925
Sm: 0.000 0.991 0.075
Sm: 0.500 0.651 0.167
Sm: 0.500 0.151 0.833
Sm: 0.000 0.349 0.335
Sm: 0.000 0.849 0.665
Dy: 0.500 0.509 0.574
Dy: 0.500 0.009 0.426
Au: 0.500 0.736 0.844
Au: 0.500 0.236 0.156
Au: 0.000 0.263 0.651
Au: 0.000 0.763 0.349

Computed properties:
DFT formation energy = -0.585 eV/atom

=====

Record 19
The following is a PBE calculation of an optimized crystal structure of YFeRe2, from Alexandria.

Cell lengths 4.700, 3.041, 4.812 Å; angles 81.58, 90.00, 90.00 degrees
Sites, in units of the cell vectors:
Fe: 0.500 0.750 0.750
Re: 0.000 0.925 0.984
Re: 0.000 0.575 0.516
Y: 0.500 0.250 0.250

Computed properties:
Offset from the most stable computed form = 259 meV per atom
DFT formation energy = 0.437 eV/atom

=====

What are the total moment values for these records? In order: 0.4; 0.0; 6.3; 4.2; 0.0; 0.9; 0.0; 0.0; 0.0; 0.0; 0.0; 1.2; 0.0; 3.0; 0.0; 1.4; 0.0; 0.0; 2.3 μB per cell.